[1]
# SmThMgIn

A relaxed SmThMgIn crystal (GGA-PBE, Alexandria via LeMat-Bulk).

Results
* energy relative to the elements: -186 meV per atom

Unit cell a=5.4384 b=5.4384 c=5.4384 alpha=60.00 beta=60.00 gamma=60.00
With the nearest neighbours (Å) after each atom.
Element x y z (fractional)
Mg 0.0000 0.0000 0.0000  4 Th 3.33, 4 Sm 3.33
Sm 0.2500 0.2500 0.2500  4 Mg 3.33, 4 In 3.33
Th 0.7500 0.7500 0.7500  4 In 3.33, 4 Mg 3.33
In 0.5000 0.5000 0.5000  4 Sm 3.33, 4 Th 3.33


[2]
# SmMgTlIn

A relaxed SmMgTlIn crystal (GGA-PBE, Alexandria via LeMat-Bulk).

Results
* energy relative to the elements: -350 meV per atom

Unit cell a=4.5769 b=4.7467 c=4.7147 alpha=90.00 beta=90.00 gamma=90.00
With the nearest neighbours (Å) after each atom.
Element x y z (fractional)
Sm 0.5000 0.5000 0.0000  4 In 3.29, 4 Tl 3.30, 4 Mg 3.35
Mg 0.5000 0.0000 0.5000  4 Tl 3.29, 4 In 3.30, 4 Sm 3.35
Tl 0.0000 0.0000 0.0000  4 Mg 3.29, 4 Sm 3.30, 4 In 3.35
In 0.0000 0.5000 0.5000  4 Sm 3.29, 4 Mg 3.30, 4 Tl 3.35


[3]
# SmMgTlIn

A relaxed SmMgTlIn crystal (GGA-PBE, Alexandria via LeMat-Bulk).

Results
* energy relative to the elements: -264 meV per atom

Unit cell a=5.2850 b=5.2850 c=5.2850 alpha=60.00 beta=60.00 gamma=60.00
With the nearest neighbours (Å) after each atom.
Element x y z (fractional)
Tl 0.0000 0.0000 0.0000  4 Mg 3.24, 4 Sm 3.24
Mg 0.7500 0.7500 0.7500  4 Tl 3.24, 4 In 3.24
Sm 0.2500 0.2500 0.2500  4 Tl 3.24, 4 In 3.24
In 0.5000 0.5000 0.5000  4 Sm 3.24, 4 Mg 3.24


[4]
# SmTm2Mg2In2

A relaxed SmTm2Mg2In2 crystal (GGA-PBE, Alexandria via LeMat-Bulk).

Results
* energy relative to the elements: -224 meV per atom

Unit cell a=4.9979 b=4.9979 c=9.1327 alpha=74.12 beta=74.12 gamma=60.00
With the nearest neighbours (Å) after each atom.
Element x y z (fractional)
Sm 0.0000 0.0000 0.0000  2 Tm 3.40, 6 Mg 3.44, 6 In 3.45
Tm 0.1307 0.1307 0.6078  4 In 3.25-3.37, 3 Mg 3.26, 1 Sm 3.40, 3 Tm 3.44
Tm 0.8693 0.8693 0.3922  4 In 3.25-3.37, 3 Mg 3.26, 1 Sm 3.40, 3 Tm 3.44
Mg 0.5943 0.5943 0.2170  3 In 2.89
Mg 0.4057 0.4057 0.7830  3 In 2.89
In 0.7396 0.7396 0.7811  3 Mg 2.89
In 0.2604 0.2604 0.2189  3 Mg 2.89


[5]
# SmYMgIn

A relaxed SmYMgIn crystal (GGA-PBE, Alexandria via LeMat-Bulk).

Results
* energy relative to the elements: -348 meV per atom

Unit cell a=5.3676 b=5.3676 c=5.3676 alpha=60.00 beta=60.00 gamma=60.00
With the nearest neighbours (Å) after each atom.
Element x y z (fractional)
Y 0.5000 0.5000 0.5000  4 Mg 3.29, 4 In 3.29
Mg 0.2500 0.2500 0.2500  4 Sm 3.29, 4 Y 3.29
Sm 0.0000 0.0000 0.0000  4 In 3.29, 4 Mg 3.29
In 0.7500 0.7500 0.7500  4 Y 3.29, 4 Sm 3.29


[6]
# SmMgZnIn

A relaxed SmMgZnIn crystal (GGA-PBE, Alexandria via LeMat-Bulk).

Results
* energy relative to the elements: -318 meV per atom

Unit cell a=5.0905 b=5.0905 c=5.0905 alpha=60.00 beta=60.00 gamma=60.00
With the nearest neighbours (Å) after each atom.
Element x y z (fractional)
Zn 0.0000 0.0000 0.0000  4 Mg 3.12, 4 Sm 3.12
Mg 0.2500 0.2500 0.2500  4 In 3.12, 4 Zn 3.12
Sm 0.7500 0.7500 0.7500  4 Zn 3.12, 4 In 3.12
In 0.5000 0.5000 0.5000  4 Sm 3.12, 4 Mg 3.12


[7]
# SmMgZrIn

A relaxed SmMgZrIn crystal (GGA-PBE, Alexandria via LeMat-Bulk).

Results
* energy relative to the elements: -170 meV per atom

Unit cell a=5.1907 b=5.1907 c=5.1907 alpha=60.00 beta=60.00 gamma=60.00
With the nearest neighbours (Å) after each atom.
Element x y z (fractional)
Mg 0.2500 0.2500 0.2500  4 Zr 3.18, 4 Sm 3.18
Zr 0.5000 0.5000 0.5000  4 In 3.18, 4 Mg 3.18
Sm 0.0000 0.0000 0.0000  4 In 3.18, 4 Mg 3.18
In 0.7500 0.7500 0.7500  4 Zr 3.18, 4 Sm 3.18


[8]
# MgIn2Sn

A relaxed MgIn2Sn crystal (GGA-PBE, Alexandria via LeMat-Bulk).

Results
* energy relative to the elements: -31 meV per atom

Unit cell a=3.3925 b=6.4721 c=5.6576 alpha=55.11 beta=89.99 gamma=89.98
With the nearest neighbours (Å) after each atom.
Element x y z (fractional)
Mg 0.5000 0.5000 0.5000  2 Sn 3.24, 8 In 3.30, 2 Mg 3.39
In 0.0000 0.0000 0.0000  4 In 3.24-3.39, 4 Sn 3.30, 4 Mg 3.30
In 0.0000 0.5000 0.0000  4 In 3.24-3.39, 4 Mg 3.30, 4 Sn 3.30
Sn 0.5000 0.0000 0.5000  2 Mg 3.24, 8 In 3.30, 2 Sn 3.39